Entry 1:
This record from Alexandria via LeMat-Bulk describes RbAgMo2Rh after structural relaxation. The functional is PBE. Values from VASP.

Computed properties:
Energy of formation ... 1328 meV per atom

Geometry as Quantum ESPRESSO input:
```
&SYSTEM
  ibrav = 0, nat = 5, ntyp = 4
/
ATOMIC_SPECIES
Mo 95.94 Mo.upf
Rh 102.91 Rh.upf
Rb 85.47 Rb.upf
Ag 107.87 Ag.upf
CELL_PARAMETERS angstrom
4.866 0.000 0.000
0.000 5.455 0.000
0.000 0.000 4.866
ATOMIC_POSITIONS crystal
Mo 0.000 0.000 0.500
Mo 0.500 0.000 0.000
Rh 0.000 0.000 0.000
Rb 0.500 0.500 0.500
Ag 0.000 0.500 0.000
```

=====

Entry 2:
This record from Alexandria via LeMat-Bulk describes BeTlAu2 after structural relaxation. The functional is PBE. Values from VASP.

Computed properties:
Relative energy among the computed polymorphs ... 0.349 eV/atom
Energy of formation ... 345 meV per atom

Geometry as Quantum ESPRESSO input:
```
&SYSTEM
  ibrav = 0, nat = 4, ntyp = 3
/
ATOMIC_SPECIES
Be 9.01 Be.upf
Tl 204.38 Tl.upf
Au 196.97 Au.upf
CELL_PARAMETERS angstrom
4.227 0.000 0.000
0.000 4.229 0.000
0.000 0.000 4.072
ATOMIC_POSITIONS crystal
Be 0.500 0.000 0.500
Tl 0.000 0.500 0.500
Au 0.000 0.000 0.000
Au 0.500 0.500 0.000
```

=====

Entry 3:
This record from Alexandria via LeMat-Bulk describes CrHg2Os after structural relaxation. The functional is PBE. Values from VASP.

Computed properties:
Relative energy among the computed polymorphs ... 0.692 eV/atom
Energy of formation ... 1060 meV per atom

Geometry as Quantum ESPRESSO input:
```
&SYSTEM
  ibrav = 0, nat = 4, ntyp = 3
/
ATOMIC_SPECIES
Cr 52.00 Cr.upf
Os 190.23 Os.upf
Hg 200.59 Hg.upf
CELL_PARAMETERS angstrom
0.000 3.222 3.222
3.222 0.000 3.222
3.222 3.222 0.000
ATOMIC_POSITIONS crystal
Cr 0.000 0.000 0.000
Os 0.500 0.500 0.500
Hg 0.250 0.250 0.250
Hg 0.750 0.750 0.750
```

=====

Entry 4:
This record from Alexandria via LeMat-Bulk describes Pr4GaAg after structural relaxation. The functional is PBE. Values from VASP.

Computed properties:
Relative energy among the computed polymorphs ... 0.000 eV/atom
Energy of formation ... -213 meV per atom

Geometry as Quantum ESPRESSO input:
```
&SYSTEM
  ibrav = 0, nat = 24, ntyp = 3
/
ATOMIC_SPECIES
Pr 140.91 Pr.upf
Ga 69.72 Ga.upf
Ag 107.87 Ag.upf
CELL_PARAMETERS angstrom
8.742 0.000 5.047
2.914 8.242 5.047
0.000 0.000 10.094
ATOMIC_POSITIONS crystal
Pr 0.383 0.383 0.383
Pr 0.851 0.383 0.383
Pr 0.383 0.851 0.383
Pr 0.383 0.383 0.851
Pr 0.561 0.561 0.939
Pr 0.939 0.939 0.561
Pr 0.561 0.939 0.561
Pr 0.939 0.561 0.939
Pr 0.939 0.561 0.561
Pr 0.561 0.939 0.939
Pr 0.189 0.189 0.811
Pr 0.811 0.811 0.189
Pr 0.189 0.811 0.189
Pr 0.811 0.189 0.811
Pr 0.811 0.189 0.189
Pr 0.189 0.811 0.811
Ga 0.599 0.599 0.599
Ga 0.203 0.599 0.599
Ga 0.599 0.203 0.599
Ga 0.599 0.599 0.203
Ag 0.164 0.164 0.164
Ag 0.509 0.164 0.164
Ag 0.164 0.509 0.164
Ag 0.164 0.164 0.509
```

=====

Entry 5:
This record from Alexandria via LeMat-Bulk describes LiBiB after structural relaxation. The functional is PBE. Values from VASP.

Computed properties:
Relative energy among the computed polymorphs ... 0.081 eV/atom
Energy of formation ... 31 meV per atom

Geometry as Quantum ESPRESSO input:
```
&SYSTEM
  ibrav = 0, nat = 6, ntyp = 3
/
ATOMIC_SPECIES
Li 6.94 Li.upf
Bi 208.98 Bi.upf
B 10.81 B.upf
CELL_PARAMETERS angstrom
-0.971 2.876 0.955
-2.566 0.347 -3.653
-5.951 -4.926 3.711
ATOMIC_POSITIONS crystal
Li 0.572 0.000 0.595
Li 0.888 0.500 0.828
Bi 0.589 0.500 0.263
Bi 0.455 0.000 0.978
B 0.254 0.500 0.587
B 0.742 0.500 0.562
```

=====

Entry 6:
This record from Alexandria via LeMat-Bulk describes GaGeSeN2 after structural relaxation. The functional is PBE. Values from VASP.

Computed properties:
Formation energy (no corrections) ... 1.127 eV/atom
Relative energy among the computed polymorphs ... 0.182 eV/atom

Geometry as Quantum ESPRESSO input:
```
&SYSTEM
  ibrav = 0, nat = 5, ntyp = 4
/
ATOMIC_SPECIES
Ge 72.64 Ge.upf
Ga 69.72 Ga.upf
Se 78.96 Se.upf
N 14.01 N.upf
CELL_PARAMETERS angstrom
3.938 0.000 0.000
0.000 3.938 0.000
0.000 0.000 5.444
ATOMIC_POSITIONS crystal
Ge 0.500 0.500 0.500
Ga 0.000 0.000 0.000
Se 0.000 0.000 0.500
N 0.000 0.500 0.000
N 0.500 0.000 0.000
```

=====

Entry 7:
This record from Alexandria via LeMat-Bulk describes LiZr2InSe after structural relaxation. The functional is PBE. Values from VASP.

Computed properties:
Formation energy (no corrections) ... 0.221 eV/atom

Geometry as Quantum ESPRESSO input:
```
&SYSTEM
  ibrav = 0, nat = 5, ntyp = 4
/
ATOMIC_SPECIES
Li 6.94 Li.upf
Se 78.96 Se.upf
Zr 91.22 Zr.upf
In 114.82 In.upf
CELL_PARAMETERS angstrom
4.989 0.000 0.000
0.000 4.124 0.000
0.000 0.000 4.989
ATOMIC_POSITIONS crystal
Li 0.000 0.000 0.000
Se 0.000 0.500 0.000
Zr 0.000 0.000 0.500
Zr 0.500 0.000 0.000
In 0.500 0.500 0.500
```

=====

Entry 8:
This record from Alexandria via LeMat-Bulk describes PaReMoW after structural relaxation. The functional is PBE. Values from VASP.

Computed properties:
Energy of formation ... 133 meV per atom

Geometry as Quantum ESPRESSO input:
```
&SYSTEM
  ibrav = 0, nat = 4, ntyp = 4
/
ATOMIC_SPECIES
Re 186.21 Re.upf
Mo 95.94 Mo.upf
Pa 231.04 Pa.upf
W 183.84 W.upf
CELL_PARAMETERS angstrom
4.668 0.000 0.000
2.334 4.042 0.000
2.334 1.347 3.811
ATOMIC_POSITIONS crystal
Re 0.750 0.750 0.750
Mo 0.250 0.250 0.250
Pa 0.500 0.500 0.500
W 0.000 0.000 0.000
```

=====

Entry 9:
This record from Alexandria via LeMat-Bulk describes PuAl2Au after structural relaxation. The functional is PBE. Values from VASP.

Computed properties:
Energy of formation ... -270 meV per atom

Geometry as Quantum ESPRESSO input:
```
&SYSTEM
  ibrav = 0, nat = 16, ntyp = 3
/
ATOMIC_SPECIES
Pu 244.00 Pu.upf
Al 26.98 Al.upf
Au 196.97 Au.upf
CELL_PARAMETERS angstrom
4.232 0.000 0.000
0.000 6.040 0.000
0.000 0.000 12.842
ATOMIC_POSITIONS crystal
Pu 0.750 0.017 0.103
Pu 0.250 0.483 0.603
Pu 0.250 0.983 0.897
Pu 0.750 0.517 0.397
Al 0.250 0.269 0.252
Al 0.750 0.025 0.340
Al 0.250 0.975 0.660
Al 0.750 0.231 0.752
Al 0.250 0.475 0.840
Al 0.250 0.769 0.248
Al 0.750 0.731 0.748
Al 0.750 0.525 0.160
Au 0.250 0.884 0.450
Au 0.750 0.116 0.550
Au 0.250 0.384 0.050
Au 0.750 0.616 0.950
```

=====

Entry 10:
This record from Alexandria via LeMat-Bulk describes Ba2LiHgPd6 after structural relaxation. The functional is PBE. Values from VASP.

Computed properties:
Energy of formation ... -380 meV per atom

Geometry as Quantum ESPRESSO input:
```
&SYSTEM
  ibrav = 0, nat = 10, ntyp = 4
/
ATOMIC_SPECIES
Ba 137.33 Ba.upf
Li 6.94 Li.upf
Hg 200.59 Hg.upf
Pd 106.42 Pd.upf
CELL_PARAMETERS angstrom
-5.006 -2.741 3.910
-3.356 -1.818 -5.615
-1.935 -6.566 -0.937
ATOMIC_POSITIONS crystal
Ba 0.192 0.578 0.614
Ba 0.808 0.422 0.386
Li 0.000 0.000 0.000
Hg 0.500 0.500 0.000
Pd 0.381 0.907 0.777
Pd 0.685 0.911 0.933
Pd 0.157 0.089 0.529
Pd 0.619 0.093 0.223
Pd 0.315 0.089 0.067
Pd 0.843 0.911 0.471
```

=====

Entry 11:
This record from Alexandria via LeMat-Bulk describes HfNp2Tl2S6 after structural relaxation. The functional is PBE. Values from VASP.

Computed properties:
Formation energy (no corrections) ... -1.171 eV/atom

Geometry as Quantum ESPRESSO input:
```
&SYSTEM
  ibrav = 0, nat = 11, ntyp = 4
/
ATOMIC_SPECIES
Hf 178.49 Hf.upf
Np 237.00 Np.upf
Tl 204.38 Tl.upf
S 32.06 S.upf
CELL_PARAMETERS angstrom
-5.949 1.200 -2.995
3.452 -5.618 -1.528
-2.725 -2.226 7.118
ATOMIC_POSITIONS crystal
Hf 0.000 0.000 0.500
Np 0.334 0.666 0.500
Np 0.666 0.334 0.500
Tl 0.831 0.169 0.000
Tl 0.169 0.831 0.000
S 0.753 0.753 0.693
S 0.065 0.380 0.691
S 0.247 0.247 0.307
S 0.380 0.065 0.691
S 0.935 0.620 0.309
S 0.620 0.935 0.309
```

=====

Entry 12:
This record from Alexandria via LeMat-Bulk describes SnPbIO2 after structural relaxation. The functional is PBE. Values from VASP.

Computed properties:
Formation energy (no corrections) ... -0.356 eV/atom
Relative energy among the computed polymorphs ... 0.691 eV/atom

Geometry as Quantum ESPRESSO input:
```
&SYSTEM
  ibrav = 0, nat = 5, ntyp = 4
/
ATOMIC_SPECIES
Pb 207.20 Pb.upf
I 126.90 I.upf
Sn 118.71 Sn.upf
O 16.00 O.upf
CELL_PARAMETERS angstrom
4.365 0.000 0.000
0.000 4.365 0.000
0.000 0.000 5.749
ATOMIC_POSITIONS crystal
Pb 0.500 0.500 0.500
I 0.000 0.000 0.500
Sn 0.000 0.000 0.000
O 0.000 0.500 0.000
O 0.500 0.000 0.000
```

=====

no.,M_tot (μB/f.u.)
1,4.80
2,0.00
3,0.00
4,0.00
5,0.00
6,2.80
7,0.00
8,0.00
9,5.79
10,0.00
11,8.00
12,0.00